MgZnIn2, PBEsol geometry, DFT SCAN; spin magnetization = 0.00 μB/cell; formation energy = -0.017 eV per atom; energy above the lowest structure with this stoichiometry = 13 meV/atom
1.0
-2.166 2.166 4.486
2.166 -2.166 4.486
2.166 2.166 -4.486
Mg Zn In
1 1 2
Direct
0.000 0.000 0.000
0.750 0.250 0.500
0.250 0.750 0.500
0.500 0.500 0.000